Crystalline PrBr3 at its relaxed geometry, computed with PBE-GGA.

```
PrBr3
1.0
4.4211 0.0000 0.0000
0.0000 8.0886 0.6871
0.0000 -4.6443 6.6624
Br Pr
6 2
Cartesian
1.1053 2.8189 4.5500
3.3159 -2.5298 4.7179
1.1053 2.7368 0.8551
3.3159 0.6254 2.7995
3.3159 0.7076 6.4944
1.1053 5.9741 2.6316
3.3159 3.8426 2.6786
1.1053 -0.3983 4.6709
```

Output
SG: No. 176

---

Crystalline Li3UCl9 at its relaxed geometry, computed with PBE-GGA.

```
Li3UCl9
1.0
8.0163 0.0000 3.3733
3.5385 9.2115 2.8027
-0.6342 0.0177 12.7187
Cl U Li
18 2 6
Cartesian
4.3556 9.1257 10.8238
5.4326 4.6816 6.7925
8.6945 3.0900 5.9899
5.2916 0.0847 12.5690
6.5293 4.0076 12.6689
7.1234 7.7046 12.4784
4.4958 8.6045 5.9773
3.2222 6.2698 13.1146
7.4142 0.8265 15.3519
2.7882 2.7382 13.1823
9.1623 6.6390 5.8950
5.6887 0.2101 7.4675
6.7442 7.3351 9.0111
3.7963 4.5111 3.4389
2.9508 1.6552 5.8508
8.1683 4.8247 15.6605
1.9588 5.4233 7.2204
3.3256 2.0421 9.2749
1.6510 4.6601 14.2182
3.2602 0.0455 7.7457
7.9727 5.3519 11.6499
6.4583 1.8769 13.4242
4.0054 6.4738 6.5561
0.6768 0.7373 1.4302
9.8015 8.3082 17.1506
3.4815 3.6936 7.3415
```

Output
SG: No. 9

---

Crystalline ZrTi2NbC4 at its relaxed geometry, computed with PBE-GGA.

```
ZrTi2NbC4
1.0
-0.8941 -1.3388 -2.7411
4.4810 -3.1214 0.0628
-1.0781 -4.6959 2.6452
Ti C Zr Nb
2 4 1 1
Cartesian
-1.0781 -4.6959 2.6452
-0.9861 -3.0173 -0.0480
2.6227 -5.8562 2.0046
2.6851 -4.2246 -0.6559
-0.1763 -4.9315 0.6228
-0.1138 -3.2999 -2.0378
1.7935 -2.2301 -1.3391
1.7015 -3.9087 1.3540
```

Output
SG: No. 10

---

Crystalline TcAsO3 at its relaxed geometry, computed with PBE-GGA.

```
TcAsO3
1.0
3.8992 0.0000 0.0000
0.0000 3.8992 0.0000
0.0000 0.0000 3.8992
O Tc As
3 1 1
Cartesian
0.0000 0.0000 1.9496
1.9496 0.0000 0.0000
0.0000 1.9496 0.0000
0.0000 0.0000 0.0000
1.9496 1.9496 1.9496
```

Output
SG: No. 221

---

no.,VASP energy (eV per formula unit)
1,-17.3
2,-53.4
3,-77.0
4,-32.4